Run w
VASP calculation (PBE-GGA) on a relaxed ReBF2 crystal.

Results
- V (Å³ per cell) = 50
- SG = R-3m
- magnetic moment (μB/f.u.) = 0.82
- mass density (kg/m3) = 7807

Cell: 8.248 8.248 8.248 Å, 18.62 18.62 18.62°
Each line ends with the local moment (μB).
Atoms (fractional coordinates):
F 0.080 0.080 0.080  0.01
F 0.920 0.920 0.920  0.01
Re 0.000 0.000 0.000  0.38
B 0.500 0.500 0.500  0.17

=====

Run x
VASP calculation (PBE-GGA) on a relaxed ReBF2 crystal.

Results
- V (Å³ per cell) = 96
- SG = Fd-3m
- magnetic moment (μB/f.u.) = 1.05
- mass density (kg/m3) = 8108

Cell: 5.144 5.144 5.144 Å, 60.00 60.00 60.00°
Each line ends with the local moment (μB).
Atoms (fractional coordinates):
F 0.125 0.125 0.625  0.01
B 0.250 0.250 0.250  0.01
Re 0.750 0.750 0.750  0.85
F 0.125 0.125 0.125  0.01
Re 0.500 0.500 0.500  0.85
B 0.000 0.000 0.000  0.01
F 0.125 0.625 0.125  0.01
F 0.625 0.125 0.125  0.01

=====

Run y
VASP calculation (PBE-GGA) on a relaxed ReBF2 crystal.

Results
- V (Å³ per cell) = 42
- SG = Fm-3m
- magnetic moment (μB/f.u.) = 0.19
- mass density (kg/m3) = 9309

Cell: 3.899 3.899 3.899 Å, 60.00 60.00 60.00°
Each line ends with the local moment (μB).
Atoms (fractional coordinates):
B 0.000 0.000 0.000  0.02
F 0.750 0.750 0.750  0.00
Re 0.500 0.500 0.500  -0.22
F 0.250 0.250 0.250  0.00

=====

Run z
VASP calculation (PBE-GGA) on a relaxed ReBF2 crystal.

Results
- V (Å³ per cell) = 65
- SG = R-3m
- magnetic moment (μB/f.u.) = 1.90
- mass density (kg/m3) = 6045

Cell: 10.831 10.831 10.831 Å, 13.98 13.98 13.98°
Each line ends with the local moment (μB).
Atoms (fractional coordinates):
F 0.042 0.042 0.042  0.13
B 0.000 0.000 0.000  0.23
Re 0.500 0.500 0.500  0.84
F 0.958 0.958 0.958  0.13

=====

So which one is most stable? That would be run z, about 289 meV/atom below the next structure.

=====

Run w
VASP calculation (PBE-GGA) on a relaxed BRhF3 crystal.

Results
- V (Å³ per cell) = 54
- SG = Pm-3m
- magnetic moment (μB/f.u.) = 1.91
- mass density (kg/m3) = 5225

Cell: 3.786 3.786 3.786 Å, 90.00 90.00 90.00°
Each line ends with the local moment (μB).
Atoms (fractional coordinates):
F 0.000 0.000 0.500  0.03
F 0.000 0.500 0.000  0.04
F 0.500 0.000 0.000  0.03
Rh 0.500 0.500 0.500  1.72
B 0.000 0.000 0.000  -0.01

=====

Run x
VASP calculation (PBE-GGA) on a relaxed BRhF3 crystal.

Results
- V (Å³ per cell) = 72
- SG = Pm-3m
- magnetic moment (μB/f.u.) = 0.64
- mass density (kg/m3) = 3936

Cell: 4.160 4.160 4.160 Å, 90.00 90.00 90.00°
Each line ends with the local moment (μB).
Atoms (fractional coordinates):
F 0.500 0.000 0.000  -0.01
F 0.000 0.000 0.500  0.02
B 0.500 0.500 0.500  0.03
F 0.000 0.500 0.000  0.01
Rh 0.000 0.000 0.000  0.54

=====

So which one is most stable? That would be run w, about 88 meV/atom below the next structure.

=====

Run w
VASP calculation (PBE-GGA) on a relaxed B3RuF crystal.

Results
- V (Å³ per cell) = 46
- SG = Pm-3m
- magnetic moment (μB/f.u.) = 0.00
- mass density (kg/m3) = 5551

Cell: 3.573 3.573 3.573 Å, 90.00 90.00 90.00°
Atoms (fractional coordinates):
B 0.000 0.000 0.500
B 0.000 0.500 0.000
B 0.500 0.000 0.000
F 0.000 0.000 0.000
Ru 0.500 0.500 0.500

=====

Run x
VASP calculation (PBE-GGA) on a relaxed B3RuF crystal.

Results
- V (Å³ per cell) = 66
- SG = Pm-3m
- magnetic moment (μB/f.u.) = 0.00
- mass density (kg/m3) = 3844

Cell: 4.039 4.039 4.039 Å, 90.00 90.00 90.00°
Atoms (fractional coordinates):
F 0.500 0.500 0.500
Ru 0.000 0.000 0.000
B 0.000 0.000 0.500
B 0.000 0.500 0.000
B 0.500 0.000 0.000

=====

So which one is most stable? That would be run x, about 792 meV/atom below the next structure.